Model a:
Below is a relaxed Pr8Th crystal, with properties calculated at the GGA-PBE level.

abc: 3.728 9.449 9.449
angles: 87.77 78.62 78.62
Atoms (fractional coordinates):
Pr 0.664 0.000 0.673
Pr 0.336 0.000 0.327
Pr 0.333 0.667 0.667
Pr 0.664 0.673 0.000
Pr 0.000 0.667 0.333
Pr 0.336 0.327 0.000
Pr 0.667 0.333 0.333
Pr 0.000 0.333 0.667
Th 0.000 0.000 0.000


Model b:
Below is a relaxed Pr8Th crystal, with properties calculated at the GGA-PBE level.

abc: 5.246 8.268 8.268
angles: 84.22 71.50 71.50
Atoms (fractional coordinates):
Pr 0.338 0.000 0.323
Pr 0.662 0.000 0.677
Pr 0.662 0.677 0.000
Pr 0.000 0.671 0.329
Pr 0.329 0.671 0.671
Pr 0.671 0.329 0.329
Pr 0.000 0.329 0.671
Pr 0.338 0.323 0.000
Th 0.000 0.000 0.000


Name the most stable of them. model b.